In2PbW | PBE | optimized geometry

Values from the calculation:
N(E_F), states/eV/cell: 2.26
Space group: R3m
ΔE_f, eV per formula unit: 2.22

Cell: 11.305 11.305 11.305 Å, 16.03 16.03 16.03°
Element x y z (fractional)
Pb  0.485  0.485  0.485
In  0.009  0.009  0.009
In  0.260  0.260  0.260
W  0.746  0.746  0.746



InPbW2 | PBE | optimized geometry

Values from the calculation:
N(E_F), states/eV/cell: 3.01
Space group: C2/m
ΔE_f, eV per formula unit: 4.07

Cell: 5.569 5.590 2.988 Å, 78.51 82.15 117.49°
Element x y z (fractional)
W  0.500  0.000  0.500
W  0.000  0.000  0.000
In  0.000  0.500  0.500
Pb  0.500  0.500  0.000



InPb2W | PBE | optimized geometry

Values from the calculation:
N(E_F), states/eV/cell: 3.82
Space group: R3m
ΔE_f, eV per formula unit: 2.42

Cell: 11.235 11.235 11.235 Å, 16.45 16.45 16.45°
Element x y z (fractional)
Pb  0.236  0.236  0.236
In  0.761  0.761  0.761
Pb  0.007  0.007  0.007
W  0.496  0.496  0.496



InPbW2 | PBE | optimized geometry

Values from the calculation:
N(E_F), states/eV/cell: 3.25
Space group: Cmmm
ΔE_f, eV per formula unit: 4.15

Cell: 2.973 2.973 9.436 Å, 90.00 90.00 110.38°
Element x y z (fractional)
W  0.000  0.000  0.495
W  0.000  0.000  0.005
Pb  0.500  0.500  0.750
In  0.500  0.500  0.250



no.,raw total energy (eV per atom)
1,-4.979
2,-7.070
3,-5.173
4,-7.051